No. 1
{"formula": "Hf2Zn2Fe", "functional": "PBE-GGA", "state": "optimized geometry", "lattice_angstrom": [[3.3022, 0.0000, 0.0000], [0.0000, 3.3022, 0.0000], [0.0000, 0.0000, 16.4901]], "species": ["Hf", "Hf", "Hf", "Hf", "Zn", "Zn", "Zn", "Zn", "Fe", "Fe"], "frac_coords": [[0.0000, 0.0000, 0.0909], [0.0000, 0.0000, 0.9091], [0.5000, 0.5000, 0.4091], [0.5000, 0.5000, 0.5909], [0.0000, 0.5000, 0.2500], [0.0000, 0.5000, 0.7500], [0.5000, 0.0000, 0.2500], [0.5000, 0.0000, 0.7500], [0.0000, 0.0000, 0.5000], [0.5000, 0.5000, 0.0000]], "e_above_lowest_polymorph_mev_per_atom": 139, "n_ef_per_ev_fu": 5.3}

=====

No. 2
{"formula": "ErZnNiPd", "functional": "PBE-GGA", "state": "optimized geometry", "lattice_angstrom": [[6.4424, 0.0000, 0.0000], [0.0000, 6.4424, 0.0000], [0.0000, 0.0000, 6.4424]], "species": ["Er", "Er", "Er", "Er", "Zn", "Zn", "Zn", "Zn", "Ni", "Ni", "Ni", "Ni", "Pd", "Pd", "Pd", "Pd"], "frac_coords": [[0.0000, 0.0000, 0.0000], [0.0000, 0.5000, 0.5000], [0.5000, 0.0000, 0.5000], [0.5000, 0.5000, 0.0000], [0.0000, 0.0000, 0.5000], [0.0000, 0.5000, 0.0000], [0.5000, 0.0000, 0.0000], [0.5000, 0.5000, 0.5000], [0.2500, 0.2500, 0.2500], [0.2500, 0.7500, 0.7500], [0.7500, 0.2500, 0.7500], [0.7500, 0.7500, 0.2500], [0.2500, 0.2500, 0.7500], [0.2500, 0.7500, 0.2500], [0.7500, 0.2500, 0.2500], [0.7500, 0.7500, 0.7500]], "energy_ev_per_cell": -75.6, "n_ef_per_ev_fu": 2.1}

=====

No. 3
{"formula": "Th6TeOs3Rh2", "functional": "PBE-GGA", "state": "optimized geometry", "lattice_angstrom": [[9.0992, -2.0759, 0.0000], [9.0992, 2.0759, 0.0000], [-1.9560, 0.0000, 8.2883]], "species": ["Th", "Th", "Th", "Th", "Th", "Th", "Te", "Os", "Os", "Os", "Rh", "Rh"], "frac_coords": [[0.0012, 0.0012, 0.2820], [0.3186, 0.3186, 0.9108], [0.3325, 0.3325, 0.4075], [0.6675, 0.6675, 0.5925], [0.6814, 0.6814, 0.0892], [0.9988, 0.9988, 0.7180], [0.5000, 0.5000, 0.0000], [0.1615, 0.1615, 0.8345], [0.5000, 0.5000, 0.5000], [0.8385, 0.8385, 0.1655], [0.1696, 0.1696, 0.3394], [0.8304, 0.8304, 0.6606]], "formation_energy_uncorrected_ev_per_atom": -0.56, "n_ef_per_ev_fu": 4.4}

=====

No. 4
{"formula": "CeTh2Zr", "functional": "PBE-GGA", "state": "optimized geometry", "lattice_angstrom": [[4.9884, 0.0000, 0.0000], [0.0000, 4.9884, 0.0000], [0.0000, 0.0000, 4.6431]], "species": ["Ce", "Th", "Th", "Zr"], "frac_coords": [[0.0000, 0.0000, 0.0000], [0.0000, 0.5000, 0.5000], [0.5000, 0.0000, 0.5000], [0.5000, 0.5000, 0.0000]], "e_above_lowest_polymorph_mev_per_atom": 46, "n_ef_per_ev_fu": 7.6}

=====

No. 5
{"formula": "Ho5Zn2Co2", "functional": "PBE-GGA", "state": "optimized geometry", "lattice_angstrom": [[7.7736, -3.5619, 0.0000], [7.7736, 3.5619, 0.0000], [0.0000, 0.0000, 7.2919]], "species": ["Ho", "Ho", "Ho", "Ho", "Ho", "Ho", "Ho", "Ho", "Ho", "Ho", "Zn", "Zn", "Zn", "Zn", "Co", "Co", "Co", "Co"], "frac_coords": [[0.0000, 0.0000, 0.0000], [0.0568, 0.6887, 0.6829], [0.1887, 0.5568, 0.1829], [0.3113, 0.9432, 0.6829], [0.4432, 0.8113, 0.1829], [0.5000, 0.5000, 0.5000], [0.5568, 0.1887, 0.8171], [0.6887, 0.0568, 0.3171], [0.8113, 0.4432, 0.8171], [0.9432, 0.3113, 0.3171], [0.2197, 0.2197, 0.0000], [0.2803, 0.2803, 0.5000], [0.7197, 0.7197, 0.5000], [0.7803, 0.7803, 0.0000], [0.1081, 0.8919, 0.3863], [0.3919, 0.6081, 0.8863], [0.6081, 0.3919, 0.1137], [0.8919, 0.1081, 0.6137]], "energy_ev_per_cell": -83.4, "n_ef_per_ev_fu": 6.7}

=====

No. 6
{"formula": "Cr4SiBr", "functional": "PBE-GGA", "state": "optimized geometry", "lattice_angstrom": [[0.0000, 3.4299, 3.4299], [3.4299, 0.0000, 3.4299], [3.4299, 3.4299, 0.0000]], "species": ["Cr", "Cr", "Cr", "Cr", "Si", "Br"], "frac_coords": [[0.3767, 0.3767, 0.3767], [0.3767, 0.3767, 0.8700], [0.3767, 0.8700, 0.3767], [0.8700, 0.3767, 0.3767], [0.0000, 0.0000, 0.0000], [0.7500, 0.7500, 0.7500]], "formation_energy_uncorrected_ev_per_atom": 0.76, "n_ef_per_ev_fu": 5.4}